Material: Co2TcIr
Method: DFT, GGA-PBE
State: optimized geometry

The structure in POSCAR format:
```
Co2TcIr
1.0
-1.820 -1.120 1.523
-1.351 -1.759 -2.908
3.239 -4.012 0.922
Co Tc Ir
2 1 1
Direct
0.000 0.000 0.503
0.000 0.000 0.997
0.500 0.500 0.750
0.500 0.500 0.250
```

Summary:
- Excess energy over the best structure of this formula in the dataset: 0.23 eV/f.u.
- Total moment: 1.42 μB/f.u.
- Fermi-level density of states: 5.349 states/eV/f.u.
- ΔH_f (0 K): 0.04 eV per atom